# Li7Ni13O24

A relaxed structure of Li7Ni13O24 (GGA+U, the Alexandria database).

a b c (Å): 7.649 7.649 9.808
angles (deg): 121.57 121.57 69.43
Atoms (fractional coordinates):
Li1 0.000 0.000 0.000
Li2 0.159 0.841 0.500
Li3 0.250 0.250 0.747
Li4 0.329 0.671 0.000
Li5 0.671 0.329 0.000
Li6 0.750 0.750 0.253
Li7 0.841 0.159 0.500
Ni1 0.035 0.708 0.126
Ni2 0.125 0.125 0.372
Ni3 0.210 0.542 0.629
Ni4 0.292 0.965 0.874
Ni5 0.374 0.374 0.126
Ni6 0.458 0.790 0.371
Ni7 0.500 0.500 0.500
Ni8 0.542 0.210 0.629
Ni9 0.626 0.626 0.874
Ni10 0.708 0.035 0.126
Ni11 0.790 0.458 0.371
Ni12 0.875 0.875 0.628
Ni13 0.965 0.292 0.874
O1 0.038 0.348 0.548
O2 0.065 0.065 0.694
O3 0.112 0.785 0.801
O4 0.157 0.467 0.959
O5 0.192 0.192 0.048
O6 0.215 0.888 0.199
O7 0.288 0.601 0.303
O8 0.327 0.327 0.471
O9 0.348 0.038 0.548
O10 0.399 0.712 0.697
O11 0.453 0.453 0.820
O12 0.467 0.157 0.959
O13 0.533 0.843 0.041
O14 0.547 0.547 0.180
O15 0.601 0.288 0.303
O16 0.652 0.962 0.452
O17 0.673 0.673 0.529
O18 0.712 0.399 0.697
O19 0.785 0.112 0.801
O20 0.808 0.808 0.952
O21 0.843 0.533 0.041
O22 0.888 0.215 0.199
O23 0.935 0.935 0.306
O24 0.962 0.652 0.452

Output
* crystal system: monoclinic
* volume: 9.4 Å³/atom
* final energy: -4.791 eV per atom